DFT (GGA+U) results for a geometry-optimized Mo3AuO structure.

Results
SG: Pm-3m, No. 221
Polymorph energy (0 for the lowest one): 0 meV/atom
ρ: 11.32 g/cm3
Magnetic moment: 0.327 μB per cell

Cell: 4.188 4.188 4.188 Å, 90.00 90.00 90.00°
Atoms (fractional coordinates):
1 Mo 0.000 0.000 0.500
2 Mo 0.000 0.500 0.000
3 Mo 0.500 0.000 0.000
4 Au 0.500 0.500 0.500
5 O 0.000 0.000 0.000